A relaxed PaSbO crystal. Source: Alexandria, functional PBE.

POSCAR file:
```
PaSbO
1.0
3.960 0.000 0.000
0.000 3.960 0.000
0.000 0.000 7.526
Pa Sb O
2 2 2
Direct
0.250 0.250 0.172 Pa
0.750 0.750 0.828 Pa
0.250 0.250 0.616 Sb
0.750 0.750 0.384 Sb
0.250 0.750 0.000 O
0.750 0.250 0.000 O
```

Space-group type ... No. 129
Total magnetization ... 0.00 μB per atom
Offset from the most stable computed form ... 0 meV per atom
N(E_F) ... 3.3 states/eV per cell